# 1
Compound: Y3MoC
Source: the Alexandria database
Functional: GGA-PBE
Structure: optimized geometry

Computed properties:
The total magnetization is 2.6 μB per formula unit. For the volume, the calculation gives 116.05 Å³/cell. As for the symmetry: Pm-3m. For the formation energy, the calculation gives 0.29 eV/atom. The calculation puts the distance to the lowest polymorph of the same formula at 0 meV per atom.

Cell lengths 4.8777, 4.8777, 4.8777 Å; angles 90.00, 90.00, 90.00 degrees
Last column: nearest neighbours and their distance in Å.
Fractional coordinates of all 5 atoms:
Y  0.0000  0.0000  0.5000  2 C 2.44
Y  0.0000  0.5000  0.0000  2 C 2.44
Y  0.5000  0.0000  0.0000  2 C 2.44
Mo  0.5000  0.5000  0.5000  12 Y 3.45
C  0.0000  0.0000  0.0000  6 Y 2.44

---

# 2
Compound: SbMo2P
Source: the Alexandria database
Functional: GGA-PBE
Structure: optimized geometry

Computed properties:
The total magnetization is 0.0 μB per formula unit. For the volume, the calculation gives 69.34 Å³/cell. As for the symmetry: Pm. The energy relative to the elements, uncorrected is 0.06 eV/atom. The calculation puts the distance to the lowest polymorph of the same formula at 192 meV per atom.

Cell lengths 3.1646, 4.7041, 4.6645 Å; angles 90.00, 92.97, 90.00 degrees
Last column: nearest neighbours and their distance in Å.
Fractional coordinates of all 4 atoms:
Sb  0.0000  0.0000  0.0000  6 Mo 2.73-2.89
Mo  0.4923  0.0000  0.4974  2 P 2.53, 2 Sb 2.73-2.77
Mo  0.9728  0.5000  0.2996  2 P 2.43-2.46
P  0.5100  0.5000  0.6993  4 Mo 2.43-2.53

---

# 3
Compound: BeAl2Ru
Source: the Alexandria database
Functional: GGA-PBE
Structure: optimized geometry

Computed properties:
The total magnetization is 0.0 μB per formula unit. For the volume, the calculation gives 51.42 Å³/cell. As for the symmetry: F-43m. For the formation energy, the calculation gives -0.17 eV/atom.

Cell lengths 4.1740, 4.1740, 4.1740 Å; angles 60.00, 60.00, 60.00 degrees
Last column: nearest neighbours and their distance in Å.
Fractional coordinates of all 4 atoms:
Be  0.0000  0.0000  0.0000  4 Al 2.56, 4 Ru 2.56
Al  0.2500  0.2500  0.2500  4 Al 2.56, 4 Be 2.56
Al  0.5000  0.5000  0.5000  4 Ru 2.56, 4 Al 2.56
Ru  0.7500  0.7500  0.7500  4 Be 2.56, 4 Al 2.56

---

# 4
Compound: Rb3Ce3TeSe8
Source: the Alexandria database
Functional: GGA-PBE
Structure: optimized geometry

Computed properties:
The total magnetization is 2.9 μB per formula unit. For the volume, the calculation gives 528.92 Å³/cell. As for the symmetry: C2/m. The energy relative to the elements, uncorrected is -1.37 eV/atom.

Cell lengths 8.6634, 8.6634, 9.5442 Å; angles 116.95, 116.95, 60.07 degrees
Last column: nearest neighbours and their distance in Å.
Fractional coordinates of all 15 atoms:
Rb  0.0000  0.0000  0.0000  6 Se 3.50-3.52
Rb  0.0000  0.5000  0.0000  6 Se 3.51-3.52
Rb  0.5000  0.0000  0.0000  6 Se 3.51-3.52
Ce  0.0000  0.5000  0.5000  6 Se 2.97-2.98
Ce  0.5000  0.0000  0.5000  6 Se 2.97-2.98
Ce  0.5000  0.5000  0.5000  6 Se 2.97-2.98
Te  0.0000  0.0000  0.5000  6 Se 2.87-2.91
Se  0.2242  0.2242  0.6908  1 Te 2.87, 2 Ce 2.98
Se  0.2274  0.7380  0.6925  1 Te 2.91, 2 Ce 2.97
Se  0.2620  0.7726  0.3075  1 Te 2.91, 2 Ce 2.97
Se  0.2671  0.2671  0.3018  3 Ce 2.98
Se  0.7329  0.7329  0.6982  3 Ce 2.98
Se  0.7380  0.2274  0.6925  1 Te 2.91, 2 Ce 2.97
Se  0.7726  0.2620  0.3075  1 Te 2.91, 2 Ce 2.97
Se  0.7758  0.7758  0.3092  1 Te 2.87, 2 Ce 2.98

---

# 5
Compound: TcRu2F
Source: the Alexandria database
Functional: GGA-PBE
Structure: optimized geometry

Computed properties:
The total magnetization is 0.0 μB per formula unit. For the volume, the calculation gives 114.46 Å³/cell. As for the symmetry: I-42d. The energy relative to the elements, uncorrected is 0.41 eV/atom. The calculation puts the distance to the lowest polymorph of the same formula at 106 meV per atom.

Cell lengths 5.3091, 5.3091, 5.3091 Å; angles 106.91, 106.91, 114.73 degrees
Last column: nearest neighbours and their distance in Å.
Fractional coordinates of all 8 atoms:
Tc  0.0000  0.0000  0.0000  4 Ru 2.42
Tc  0.7500  0.2500  0.5000  4 Ru 2.42
Ru  0.1410  0.6250  0.0160  2 F 2.28, 2 Tc 2.42
Ru  0.3750  0.3910  0.5160  2 F 2.28, 2 Tc 2.42
Ru  0.6090  0.1250  0.9840  2 F 2.28, 2 Tc 2.42
Ru  0.8750  0.8590  0.4840  2 F 2.28, 2 Tc 2.42
F  0.2500  0.7500  0.5000  4 Ru 2.28
F  0.5000  0.5000  0.0000  4 Ru 2.28

---

# 6
Compound: CaTlAs2
Source: the Alexandria database
Functional: GGA-PBE
Structure: optimized geometry

Computed properties:
The total magnetization is 0.0 μB per formula unit. For the volume, the calculation gives 106.30 Å³/cell. As for the symmetry: R-3m. For the formation energy, the calculation gives -0.11 eV/atom. The calculation puts the distance to the lowest polymorph of the same formula at 391 meV per atom.

Cell lengths 9.8878, 9.8878, 9.8878 Å; angles 20.76, 20.76, 20.76 degrees
Last column: nearest neighbours and their distance in Å.
Fractional coordinates of all 4 atoms:
Ca  0.0000  0.0000  0.0000  6 As 3.03
Tl  0.5000  0.5000  0.5000  6 As 3.32, 6 Tl 3.56
As  0.2566  0.2566  0.2566  3 Ca 3.03, 3 Tl 3.32
As  0.7434  0.7434  0.7434  3 Ca 3.03, 3 Tl 3.32

---

# 7
Compound: NaSr2B2
Source: the Alexandria database
Functional: GGA-PBE
Structure: optimized geometry

Computed properties:
The total magnetization is 0.0 μB per formula unit. For the volume, the calculation gives 233.09 Å³/cell. As for the symmetry: P4/mbm. For the formation energy, the calculation gives 0.91 eV/atom. The calculation puts the distance to the lowest polymorph of the same formula at 0 meV per atom.

Cell lengths 8.2882, 8.2882, 3.3932 Å; angles 90.00, 90.00, 90.00 degrees
Last column: nearest neighbours and their distance in Å.
Fractional coordinates of all 10 atoms:
Na  0.0000  0.0000  0.0000  4 Sr 3.13, 2 Na 3.39
Na  0.5000  0.5000  0.0000  4 Sr 3.13, 2 Na 3.39
Sr  0.1553  0.3447  0.0000  6 B 2.93-3.01, 2 Na 3.13
Sr  0.3447  0.8447  0.0000  6 B 2.93-3.01, 2 Na 3.13
Sr  0.6553  0.1553  0.0000  6 B 2.93-3.01, 2 Na 3.13
Sr  0.8447  0.6553  0.0000  6 B 2.93-3.01, 2 Na 3.13
B  0.1325  0.6325  0.5000  6 Sr 2.93-3.01, 1 B 3.11
B  0.3675  0.1325  0.5000  6 Sr 2.93-3.01, 1 B 3.11
B  0.6325  0.8675  0.5000  6 Sr 2.93-3.01, 1 B 3.11
B  0.8675  0.3675  0.5000  6 Sr 2.93-3.01, 1 B 3.11

---

# 8
Compound: Sc2InPb
Source: the Alexandria database
Functional: GGA-PBE
Structure: optimized geometry

Computed properties:
The total magnetization is 1.0 μB per formula unit. For the volume, the calculation gives 94.19 Å³/cell. As for the symmetry: P2/m. For the formation energy, the calculation gives -0.36 eV/atom.

Cell lengths 3.3141, 4.3319, 6.5609 Å; angles 90.00, 90.12, 90.00 degrees
Last column: nearest neighbours and their distance in Å.
Fractional coordinates of all 4 atoms:
Sc  0.0007  0.0000  0.2440  4 In 3.16, 4 Pb 3.20-3.21, 4 Sc 3.20-3.36
Sc  0.9993  0.0000  0.7560  4 In 3.16, 4 Pb 3.20-3.21, 4 Sc 3.20-3.36
In  0.5000  0.5000  0.0000  8 Sc 3.16, 2 Pb 3.28, 2 In 3.31
Pb  0.5000  0.5000  0.5000  8 Sc 3.20-3.21, 2 In 3.28, 2 Pb 3.31

---

- volume of number 4 (Rb3Ce3TeSe8)?
  528.92 Å³/cell

---

- The lowest volume belongs to which entry?
  BeAl2Ru